Li4Cd2GaSi | PBE | relaxed Values from VASP.

Results
The electronic total energy is -2.49 eV per atom.

Quantum ESPRESSO input file:
```
&SYSTEM
  ibrav = 0, nat = 8, ntyp = 4
/
ATOMIC_SPECIES
Cd 112.41 Cd.upf
Ga 69.72 Ga.upf
Li 6.94 Li.upf
Si 28.09 Si.upf
ATOMIC_POSITIONS crystal
Cd 0.5000 0.0000 0.2507
Cd 0.0000 0.5000 0.7493
Ga 0.0000 0.0000 0.0000
Li 0.5000 0.5000 0.0000
Li 0.0000 0.5000 0.2527
Li 0.0000 0.0000 0.5000
Li 0.5000 0.0000 0.7473
Si 0.5000 0.5000 0.5000
CELL_PARAMETERS angstrom
4.4980 0.0000 0.0000
0.0000 4.4980 0.0000
0.0000 0.0000 6.4256
```

=====

La2PrMg3Pt2Au | PBE | relaxed Values from VASP.

Results
The electronic total energy is -4.68 eV per atom.

Quantum ESPRESSO input file:
```
&SYSTEM
  ibrav = 0, nat = 9, ntyp = 5
/
ATOMIC_SPECIES
Au 196.97 Au.upf
La 138.91 La.upf
Mg 24.30 Mg.upf
Pr 140.91 Pr.upf
Pt 195.08 Pt.upf
ATOMIC_POSITIONS crystal
Au 0.0000 0.9994 0.9994
La 0.0000 0.4201 0.0000
La 0.0000 0.0000 0.4201
Mg 0.5000 0.2457 0.2457
Mg 0.5000 0.9980 0.7573
Mg 0.5000 0.7573 0.9980
Pr 0.0000 0.5828 0.5828
Pt 0.5000 0.6669 0.3299
Pt 0.5000 0.3299 0.6669
CELL_PARAMETERS angstrom
4.1828 0.0000 0.0000
0.0000 6.6645 3.8318
0.0000 -6.6645 3.8318
```

=====

LuCuGeTe3 | PBE | relaxed Values from VASP.

Results
The electronic total energy is -4.20 eV per atom. The value obtained for the distance to the lowest polymorph of the same formula is 0.046 eV/atom.

Quantum ESPRESSO input file:
```
&SYSTEM
  ibrav = 0, nat = 12, ntyp = 4
/
ATOMIC_SPECIES
Cu 63.55 Cu.upf
Ge 72.64 Ge.upf
Lu 174.97 Lu.upf
Te 127.60 Te.upf
ATOMIC_POSITIONS crystal
Cu 0.5467 0.5467 0.2124
Cu 0.4533 0.4533 0.7876
Ge 0.8842 0.8842 0.4395
Ge 0.1158 0.1158 0.5605
Lu 0.1583 0.1583 0.0825
Lu 0.8417 0.8417 0.9175
Te 0.0000 0.0000 0.0000
Te 0.3213 0.3213 0.1685
Te 0.6776 0.6776 0.3508
Te 0.5000 0.5000 0.5000
Te 0.3224 0.3224 0.6492
Te 0.6787 0.6787 0.8315
CELL_PARAMETERS angstrom
9.8355 -2.0653 0.0000
9.8355 2.0653 0.0000
-1.8301 0.0000 8.0652
```

=====

RbSmCoTe3 | PBE | relaxed Values from VASP.

Results
The electronic total energy is -4.54 eV per atom. The value obtained for the distance to the lowest polymorph of the same formula is 0.000 eV/atom.

Quantum ESPRESSO input file:
```
&SYSTEM
  ibrav = 0, nat = 12, ntyp = 4
/
ATOMIC_SPECIES
Co 58.93 Co.upf
Rb 85.47 Rb.upf
Sm 150.36 Sm.upf
Te 127.60 Te.upf
ATOMIC_POSITIONS crystal
Co 0.5274 0.9451 0.2500
Co 0.4726 0.0549 0.7500
Rb 0.2534 0.4931 0.2500
Rb 0.7465 0.5069 0.7500
Sm 0.0000 0.0000 0.0000
Sm 0.0000 0.0000 0.5000
Te 0.6235 0.7531 0.0740
Te 0.9344 0.1312 0.2500
Te 0.6235 0.7531 0.4260
Te 0.3765 0.2469 0.5740
Te 0.0656 0.8688 0.7500
Te 0.3765 0.2469 0.9260
CELL_PARAMETERS angstrom
4.3383 0.0000 0.0000
2.1692 8.3629 0.0000
0.0000 0.0000 11.5887
```

=====

LuFePdPb | PBE | relaxed Values from VASP.

Results
The electronic total energy is -5.52 eV per atom. The value obtained for the distance to the lowest polymorph of the same formula is 0.114 eV/atom.

Quantum ESPRESSO input file:
```
&SYSTEM
  ibrav = 0, nat = 4, ntyp = 4
/
ATOMIC_SPECIES
Fe 55.84 Fe.upf
Lu 174.97 Lu.upf
Pb 207.20 Pb.upf
Pd 106.42 Pd.upf
ATOMIC_POSITIONS crystal
Fe 0.7500 0.7500 0.7500
Lu 0.2500 0.2500 0.2500
Pb 0.0000 0.0000 0.0000
Pd 0.5000 0.5000 0.5000
CELL_PARAMETERS angstrom
-4.4381 0.4865 1.7826
-3.8181 -0.9201 -2.7724
-2.6949 -3.8924 0.8352
```

=====

Ba2PdAu | PBE | relaxed Values from VASP.

Results
The electronic total energy is -3.71 eV per atom.

Quantum ESPRESSO input file:
```
&SYSTEM
  ibrav = 0, nat = 8, ntyp = 3
/
ATOMIC_SPECIES
Au 196.97 Au.upf
Ba 137.33 Ba.upf
Pd 106.42 Pd.upf
ATOMIC_POSITIONS crystal
Au 0.8514 0.7500 0.2128
Au 0.1486 0.2500 0.7872
Ba 0.2722 0.7500 0.0719
Ba 0.7241 0.2500 0.4341
Ba 0.2759 0.7500 0.5659
Ba 0.7278 0.2500 0.9281
Pd 0.1419 0.2500 0.2851
Pd 0.8581 0.7500 0.7149
CELL_PARAMETERS angstrom
-5.7049 0.4239 3.0700
-1.3791 -4.1914 -1.9840
5.9983 -4.3796 5.0827
```

=====

AlB4Ir | PBE | relaxed Values from VASP.

Results
The electronic total energy is -6.37 eV per atom. The value obtained for the distance to the lowest polymorph of the same formula is 0.016 eV/atom.

Quantum ESPRESSO input file:
```
&SYSTEM
  ibrav = 0, nat = 6, ntyp = 3
/
ATOMIC_SPECIES
Al 26.98 Al.upf
B 10.81 B.upf
Ir 192.22 Ir.upf
ATOMIC_POSITIONS crystal
Al 0.0000 0.0000 0.5000
B 0.6667 0.3333 0.2664
B 0.3333 0.6667 0.2664
B 0.6667 0.3333 0.7336
B 0.3333 0.6667 0.7336
Ir 0.0000 0.0000 0.0000
CELL_PARAMETERS angstrom
3.0170 0.0000 0.0000
-1.5085 2.6128 0.0000
0.0000 0.0000 6.6501
```

=====

GdMgCuTe2Se | PBE | relaxed Values from VASP.

Results
The electronic total energy is -4.16 eV per atom.

Quantum ESPRESSO input file:
```
&SYSTEM
  ibrav = 0, nat = 12, ntyp = 5
/
ATOMIC_SPECIES
Cu 63.55 Cu.upf
Gd 157.25 Gd.upf
Mg 24.30 Mg.upf
Se 78.96 Se.upf
Te 127.60 Te.upf
ATOMIC_POSITIONS crystal
Cu 0.5181 0.4819 0.2500
Cu 0.4819 0.5181 0.7500
Gd 0.0000 0.0000 0.0000
Gd 0.0000 0.0000 0.5000
Mg 0.2571 0.7429 0.2500
Mg 0.7429 0.2571 0.7500
Se 0.9073 0.0927 0.2500
Se 0.0927 0.9073 0.7500
Te 0.6544 0.3456 0.0788
Te 0.6544 0.3456 0.4212
Te 0.3456 0.6544 0.5788
Te 0.3456 0.6544 0.9212
CELL_PARAMETERS angstrom
2.0324 -6.8459 0.0000
2.0324 6.8459 0.0000
0.0000 0.0000 10.8403
```

=====

> electronic total energy of number 8 (GdMgCuTe2Se)?

-4.16 eV per atom

=====

> The highest electronic total energy belongs to which entry?

Li4Cd2GaSi

=====

> Number 4 is which compound?

RbSmCoTe3